ThPa2As, optimized geometry, DFT PBE; offset from the most stable computed form = 0.0839 eV per atom; energy of formation = -0.25 eV/atom
1.0
-1.5967 0.5540 3.1679
-3.0458 -1.7244 0.8012
3.4807 -7.5149 5.1035
Pa Th As
2 1 1
Direct
0.7361 0.7361 0.7918
0.2639 0.2639 0.2082
0.5000 0.5000 0.5000
0.0000 0.0000 0.0000